Below is a crystal of Ag2HgPt relaxed with PBEsol, with properties calculated at the meta-GGA SCAN level. Values from VASP.

## Properties
DOS at the Fermi energy ... 1.05 states/eV/cell
Magnetization ... 0.0 μB/cell
Energy of formation ... 0.028 eV/atom

```
&SYSTEM
  ibrav = 0, nat = 4, ntyp = 3
/
ATOMIC_SPECIES
Ag 107.87 Ag.upf
Hg 200.59 Hg.upf
Pt 195.08 Pt.upf
ATOMIC_POSITIONS crystal
Ag 0.000 0.500 0.000
Ag 0.500 0.000 0.000
Hg 0.000 0.000 0.500
Pt 0.500 0.500 0.500
CELL_PARAMETERS angstrom
2.805 -4.172 0.000
2.805 4.172 0.000
0.000 0.000 2.885
```



Below is a crystal of Mn2RuPt relaxed with PBEsol, with properties calculated at the meta-GGA SCAN level. Values from VASP.

## Properties
DOS at the Fermi energy ... 3.37 states/eV/cell
Magnetization ... 0.2 μB/cell
Energy of formation ... -0.277 eV/atom

```
&SYSTEM
  ibrav = 0, nat = 4, ntyp = 3
/
ATOMIC_SPECIES
Mn 54.94 Mn.upf
Ru 101.07 Ru.upf
Pt 195.08 Pt.upf
ATOMIC_POSITIONS crystal
Mn 0.000 0.000 0.000
Mn 0.740 0.740 0.242
Ru 0.487 0.487 0.462
Pt 0.244 0.244 0.747
CELL_PARAMETERS angstrom
4.347 -1.319 0.000
4.347 1.319 0.000
-0.870 0.000 4.423
```



Below is a crystal of ZrCd2Si relaxed with PBEsol, with properties calculated at the meta-GGA SCAN level. Values from VASP.

## Properties
DOS at the Fermi energy ... 1.33 states/eV/cell
Magnetization ... 0.0 μB/cell
Formation energy from raw total energies ... -0.079 eV per atom

```
&SYSTEM
  ibrav = 0, nat = 4, ntyp = 3
/
ATOMIC_SPECIES
Zr 91.22 Zr.upf
Cd 112.41 Cd.upf
Si 28.09 Si.upf
ATOMIC_POSITIONS crystal
Zr 0.000 0.000 0.000
Cd 0.232 0.232 0.586
Cd 0.472 0.472 0.471
Si 0.742 0.742 0.044
CELL_PARAMETERS angstrom
5.138 -1.486 0.000
5.138 1.486 0.000
-2.331 0.000 5.052
```



Below is a crystal of YMgBe4 relaxed with PBEsol, with properties calculated at the meta-GGA SCAN level. Values from VASP.

## Properties
DOS at the Fermi energy ... 2.51 states/eV/cell
Magnetization ... 0.4 μB/cell
Energy of formation ... 0.112 eV/atom

```
&SYSTEM
  ibrav = 0, nat = 6, ntyp = 3
/
ATOMIC_SPECIES
Y 88.91 Y.upf
Mg 24.30 Mg.upf
Be 9.01 Be.upf
ATOMIC_POSITIONS crystal
Y 0.000 0.000 0.000
Mg 0.750 0.750 0.750
Be 0.371 0.371 0.371
Be 0.371 0.371 0.887
Be 0.371 0.887 0.371
Be 0.887 0.371 0.371
CELL_PARAMETERS angstrom
0.000 3.432 3.432
3.432 0.000 3.432
3.432 3.432 0.000
```



Below is a crystal of TmNi2P2 relaxed with PBEsol, with properties calculated at the meta-GGA SCAN level. Values from VASP.

## Properties
DOS at the Fermi energy ... 1.47 states/eV/cell
Magnetization ... 0.0 μB/cell
Energy of formation ... -1.068 eV/atom

```
&SYSTEM
  ibrav = 0, nat = 5, ntyp = 3
/
ATOMIC_SPECIES
Tm 168.93 Tm.upf
Ni 58.69 Ni.upf
P 30.97 P.upf
ATOMIC_POSITIONS crystal
Tm 0.000 0.000 0.000
Ni 0.250 0.750 0.500
Ni 0.750 0.250 0.500
P 0.378 0.378 0.000
P 0.622 0.622 0.000
CELL_PARAMETERS angstrom
-1.899 1.899 4.614
1.899 -1.899 4.614
1.899 1.899 -4.614
```



Below is a crystal of MnAsIr2 relaxed with PBEsol, with properties calculated at the meta-GGA SCAN level. Values from VASP.

## Properties
DOS at the Fermi energy ... 2.80 states/eV/cell
Magnetization ... 3.4 μB/cell
Energy of formation ... -0.149 eV/atom

```
&SYSTEM
  ibrav = 0, nat = 4, ntyp = 3
/
ATOMIC_SPECIES
Mn 54.94 Mn.upf
As 74.92 As.upf
Ir 192.22 Ir.upf
ATOMIC_POSITIONS crystal
Mn 0.000 0.000 0.000
As 0.500 0.401 0.401
Ir 0.000 0.259 0.259
Ir 0.500 0.629 0.629
CELL_PARAMETERS angstrom
3.817 0.000 0.000
0.000 1.384 5.275
0.000 -1.384 5.275
```



Below is a crystal of YGeMoRh2 relaxed with PBEsol, with properties calculated at the meta-GGA SCAN level. Values from VASP.

## Properties
DOS at the Fermi energy ... 3.63 states/eV/cell
Magnetization ... 3.5 μB/cell
Energy of formation ... 0.655 eV/atom

```
&SYSTEM
  ibrav = 0, nat = 5, ntyp = 4
/
ATOMIC_SPECIES
Y 88.91 Y.upf
Ge 72.64 Ge.upf
Mo 95.94 Mo.upf
Rh 102.91 Rh.upf
ATOMIC_POSITIONS crystal
Y 0.000 0.000 0.000
Ge 0.000 0.000 0.500
Mo 0.500 0.500 0.000
Rh 0.000 0.500 0.500
Rh 0.500 0.000 0.500
CELL_PARAMETERS angstrom
4.428 0.000 0.000
0.000 4.428 0.000
0.000 0.000 5.078
```



Below is a crystal of LaHf2InMo relaxed with PBEsol, with properties calculated at the meta-GGA SCAN level. Values from VASP.

## Properties
DOS at the Fermi energy ... 6.10 states/eV/cell
Magnetization ... 3.4 μB/cell
Energy of formation ... 1.506 eV/atom

```
&SYSTEM
  ibrav = 0, nat = 5, ntyp = 4
/
ATOMIC_SPECIES
La 138.91 La.upf
Hf 178.49 Hf.upf
In 114.82 In.upf
Mo 95.94 Mo.upf
ATOMIC_POSITIONS crystal
La 0.000 0.000 0.000
Hf 0.000 0.500 0.500
Hf 0.500 0.000 0.500
In 0.000 0.000 0.500
Mo 0.500 0.500 0.000
CELL_PARAMETERS angstrom
5.139 0.000 0.000
0.000 5.139 0.000
0.000 0.000 5.723
```



Q: Number 1 is which compound?
A: Ag2HgPt



Q: The lowest DOS at the Fermi energy belongs to which entry?
A: Ag2HgPt



Q: Among the records above, which one has the highest magnetization?
A: YGeMoRh2